# 1
## Pr2Zn5PdRu2 (PBE)

Data for crystalline Pr2Zn5PdRu2 at its relaxed geometry.

```
data_Pr2Zn5PdRu2
_cell_length_a 10.355
_cell_length_b 10.355
_cell_length_c 3.409
_cell_angle_alpha 90.00
_cell_angle_beta 90.00
_cell_angle_gamma 90.00
_symmetry_space_group_name_H-M 'P 4/m b m'
_symmetry_Int_Tables_number 127
_symmetry_space_group_name_Hall '-P 4 2ab'
loop_
_atom_site_label
_atom_site_fract_x
_atom_site_fract_y
_atom_site_fract_z
Pr1 0.181 0.319 0.000
Zn1 0.000 0.500 0.500
Zn2 0.052 0.809 0.500
Pd1 0.000 0.000 0.000
Ru1 0.131 0.631 0.000
```

Calculated values
- E_form (eV/atom) = -0.2260



# 2
## PrZrPdRu (PBE)

Data for crystalline PrZrPdRu at its relaxed geometry.

```
data_PrZrPdRu
_cell_length_a 6.898
_cell_length_b 6.898
_cell_length_c 6.898
_cell_angle_alpha 90.00
_cell_angle_beta 90.00
_cell_angle_gamma 90.00
_symmetry_space_group_name_H-M 'F -4 3 m'
_symmetry_Int_Tables_number 216
_symmetry_space_group_name_Hall 'F -4 2 3'
loop_
_atom_site_label
_atom_site_fract_x
_atom_site_fract_y
_atom_site_fract_z
Pr1 0.000 0.000 0.000
Zr1 0.000 0.000 0.500
Pd1 0.250 0.250 0.750
Ru1 0.250 0.250 0.250
```

Calculated values
- E_form (eV/atom) = -0.3840



# 3
## Pr2PdS (PBE)

Data for crystalline Pr2PdS at its relaxed geometry.

```
data_Pr2PdS
_cell_length_a 4.0878
_cell_length_b 4.0878
_cell_length_c 21.7645
_cell_angle_alpha 90.00
_cell_angle_beta 90.00
_cell_angle_gamma 120.00
_symmetry_space_group_name_H-M 'R -3 m'
_symmetry_Int_Tables_number 166
_symmetry_space_group_name_Hall '-R 3 2"'
loop_
_atom_site_label
_atom_site_fract_x
_atom_site_fract_y
_atom_site_fract_z
Pr1 0.0000 0.0000 0.2493
Pd1 0.0000 0.0000 0.0000
S1 0.0000 0.0000 0.5000
```

Calculated values
- E_form (uncorrected) (meV per atom) = -1266
- polymorph energy (0 for the lowest one) (eV per atom) = 0.109



# 4
## PrPd4S2 (PBE)

Data for crystalline PrPd4S2 at its relaxed geometry.

```
data_PrPd4S2
_cell_length_a 7.676
_cell_length_b 7.676
_cell_length_c 4.063
_cell_angle_alpha 90.00
_cell_angle_beta 90.00
_cell_angle_gamma 90.00
_symmetry_space_group_name_H-M 'P 42/m n m'
_symmetry_Int_Tables_number 136
_symmetry_space_group_name_Hall '-P 4n 2n'
loop_
_atom_site_label
_atom_site_fract_x
_atom_site_fract_y
_atom_site_fract_z
Pr1 0.000 0.000 0.000
Pd1 0.084 0.334 0.500
S1 0.221 0.779 0.500
```

Calculated values
- E_form (uncorrected) (meV per atom) = -685



# 5
## Pr2PdS (PBE)

Data for crystalline Pr2PdS at its relaxed geometry.

```
data_Pr2PdS
_cell_length_a 4.022
_cell_length_b 23.700
_cell_length_c 4.222
_cell_angle_alpha 90.00
_cell_angle_beta 90.00
_cell_angle_gamma 90.00
_symmetry_space_group_name_H-M 'C m c m'
_symmetry_Int_Tables_number 63
_symmetry_space_group_name_Hall '-C 2c 2'
loop_
_atom_site_label
_atom_site_fract_x
_atom_site_fract_y
_atom_site_fract_z
Pr1 0.000 0.068 0.250
Pr2 0.000 0.311 0.250
Pd1 0.000 0.457 0.250
S1 0.000 0.190 0.250
```

Calculated values
- E_form (uncorrected) (meV per atom) = -1375
- polymorph energy (0 for the lowest one) (eV per atom) = 0.000



# 6
## PrPd3S4 (PBE)

Data for crystalline PrPd3S4 at its relaxed geometry.

```
data_PrPd3S4
_cell_length_a 6.777
_cell_length_b 6.777
_cell_length_c 6.777
_cell_angle_alpha 90.00
_cell_angle_beta 90.00
_cell_angle_gamma 90.00
_symmetry_space_group_name_H-M 'P m -3 n'
_symmetry_Int_Tables_number 223
_symmetry_space_group_name_Hall '-P 4n 2 3'
loop_
_atom_site_label
_atom_site_fract_x
_atom_site_fract_y
_atom_site_fract_z
Pr1 0.000 0.000 0.000
Pd1 0.000 0.250 0.500
S1 0.250 0.250 0.250
```

Calculated values
- E_form (uncorrected) (meV per atom) = -905



# 7
## Pr2PdS (PBE)

Data for crystalline Pr2PdS at its relaxed geometry.

```
data_Pr2PdS
_cell_length_a 4.0467
_cell_length_b 4.0467
_cell_length_c 22.5097
_cell_angle_alpha 90.00
_cell_angle_beta 90.00
_cell_angle_gamma 120.00
_symmetry_space_group_name_H-M 'R 3 m'
_symmetry_Int_Tables_number 160
_symmetry_space_group_name_Hall 'R 3 -2"'
loop_
_atom_site_label
_atom_site_fract_x
_atom_site_fract_y
_atom_site_fract_z
Pr1 0.0000 0.0000 0.0000
Pr2 0.0000 0.0000 0.1729
Pd1 0.0000 0.0000 0.5868
S1 0.0000 0.0000 0.4190
```

Calculated values
- E_form (uncorrected) (meV per atom) = -1193
- polymorph energy (0 for the lowest one) (eV per atom) = 0.182



# 8
## Pr6PdS5 (PBE)

Data for crystalline Pr6PdS5 at its relaxed geometry.

```
data_Pr6PdS5
_cell_length_a 7.166
_cell_length_b 12.381
_cell_length_c 7.160
_cell_angle_alpha 90.00
_cell_angle_beta 109.48
_cell_angle_gamma 90.00
_symmetry_space_group_name_H-M 'C 1 2/m 1'
_symmetry_Int_Tables_number 12
loop_
_symmetry_equiv_pos_as_xyz
'x,y,z'
'-x,-y,-z'
'-x,y,-z'
'x,-y,z'
'x+1/2,y+1/2,z'
'-x+1/2,-y+1/2,-z'
'-x+1/2,y+1/2,-z'
'x+1/2,-y+1/2,z'
loop_
_atom_site_label
_atom_site_fract_x
_atom_site_fract_y
_atom_site_fract_z
Pr1 0.245 0.000 0.255
Pr2 0.247 0.170 0.747
Pd1 0.000 0.500 0.000
S1 0.000 0.000 0.500
S2 0.000 0.166 0.000
S3 0.000 0.333 0.500
```

Calculated values
- E_form (uncorrected) (meV per atom) = -1804